DFT (PBE-GGA) results for a geometry-optimized LiMnAgPb structure.

Structure (POSCAR):
```
LiMnAgPb
1.0
0.000 3.331 3.331
3.331 0.000 3.331
3.331 3.331 0.000
Li Mn Ag Pb
1 1 1 1
direct
0.000 0.000 0.000
0.500 0.500 0.500
0.250 0.250 0.250
0.750 0.750 0.750
```

Results
space-group type = F-43m (216)

=====

DFT (PBE-GGA) results for a geometry-optimized DyYPb2 structure.

Structure (POSCAR):
```
DyYPb2
1.0
3.556 0.000 0.000
0.000 3.556 0.000
0.000 0.000 8.924
Dy Y Pb
1 1 2
direct
0.000 0.000 0.000
0.000 0.000 0.500
0.500 0.500 0.250
0.500 0.500 0.750
```

Results
space-group type = P4/mmm (123)

=====

DFT (PBE-GGA) results for a geometry-optimized Ca2MgIr structure.

Structure (POSCAR):
```
Ca2MgIr
1.0
-2.311 2.311 4.211
2.311 -2.311 4.211
2.311 2.311 -4.211
Ca Mg Ir
2 1 1
direct
0.000 0.000 0.000
0.750 0.250 0.500
0.500 0.500 0.000
0.250 0.750 0.500
```

Results
space-group type = I-4m2 (119)

=====

| no. | ΔE_f (meV per atom) | total energy (Ry per atom) | total moment (μB/f.u.) |
| --- | --- | --- | --- |
| 1 | 34 | -0.322 | 3.8 |
| 2 | -447 | -0.372 | 0.0 |
| 3 | -84 | -0.272 | 0.0 |